Record 1
Entry from Alexandria via LeMat-Bulk: a geometry-optimized PaGaPdO6 structure (PBE-GGA).

a b c (Å): 4.839 4.839 9.571
angles (deg): 90.00 90.00 90.00
Fractional positions:
Pa 0.500 0.500 0.499
Pa 0.000 0.000 0.999
Ga 0.500 0.500 0.834
Ga 0.000 0.000 0.334
Pd 0.500 0.500 0.167
Pd 0.000 0.000 0.667
O 0.180 0.820 0.499
O 0.820 0.180 0.499
O 0.320 0.320 0.999
O 0.680 0.680 0.999
O 0.201 0.799 0.174
O 0.799 0.201 0.174
O 0.299 0.299 0.674
O 0.701 0.701 0.674
O 0.797 0.203 0.827
O 0.203 0.797 0.827
O 0.703 0.703 0.327
O 0.297 0.297 0.327

Summary:
The uncorrected energy is -0.2649 Ha/atom. For the energy relative to the elements, uncorrected, the calculation gives -1935 meV/atom.


Record 2
Entry from Alexandria via LeMat-Bulk: a geometry-optimized CeTlBi structure (PBE-GGA).

a b c (Å): 4.068 5.183 5.183
angles (deg): 120.00 90.00 90.00
Each line ends with the local moment (μB).
Fractional positions:
Tl 0.310 0.667 0.333  0.02
Bi 0.044 0.000 0.000  -0.01
Ce 0.646 0.333 0.667  1.05

Summary:
For the formation energy, the calculation gives -0.246 eV/atom. The distance to the lowest polymorph of the same formula is 173 meV/atom. The uncorrected energy is -0.1582 Ha/atom.


Record 3
Entry from Alexandria via LeMat-Bulk: a geometry-optimized LaTeIr2 structure (PBE-GGA).

a b c (Å): 3.633 3.633 6.760
angles (deg): 90.00 90.00 90.00
Fractional positions:
Ir 0.000 0.000 0.003
Ir 0.500 0.500 0.219
La 0.000 0.000 0.438
Te 0.500 0.500 0.840

Summary:
The uncorrected energy is -0.2417 Ha/atom. For the energy relative to the elements, uncorrected, the calculation gives -129 meV/atom.


Record 4
Entry from Alexandria via LeMat-Bulk: a geometry-optimized USnSeS2 structure (PBE-GGA).

a b c (Å): 4.126 7.388 10.518
angles (deg): 116.39 90.00 90.00
Each line ends with the local moment (μB).
Fractional positions:
U 0.250 0.286 0.049  2.06
U 0.750 0.714 0.951  2.06
Sn 0.250 0.299 0.558  0.00
Sn 0.750 0.701 0.442  0.00
Se 0.250 0.961 0.129  -0.08
Se 0.750 0.039 0.871  -0.08
S 0.750 0.550 0.645  -0.02
S 0.250 0.450 0.355  -0.02
S 0.750 0.558 0.144  -0.07
S 0.250 0.442 0.856  -0.07

Summary:
The uncorrected energy is -0.2325 Ha/atom. For the energy relative to the elements, uncorrected, the calculation gives -921 meV/atom.